1.
An optimized crystal structure of Cs2VAgS4. Source: the Alexandria database, functional PBE-GGA.

Results
* relative energy among the computed polymorphs: 0.019 eV/atom
* raw total energy: -4.749 eV/atom
* formation energy from raw total energies: -0.98 eV/atom

abc: 14.256 12.665 7.730
angles: 85.04 62.26 32.70
Atoms (fractional coordinates):
Cs1 0.051 0.051 0.699
Cs2 0.301 0.301 0.949
Cs3 0.699 0.699 0.051
Cs4 0.949 0.949 0.301
V1 0.375 0.375 0.375
V2 0.625 0.625 0.625
Ag1 0.125 0.125 0.125
Ag2 0.875 0.875 0.875
S1 0.027 0.619 0.540
S2 0.314 0.540 0.619
S3 0.381 0.973 0.686
S4 0.460 0.686 0.973
S5 0.540 0.314 0.027
S6 0.619 0.027 0.314
S7 0.686 0.460 0.381
S8 0.973 0.381 0.460

2.
An optimized crystal structure of SrCaInSbO6. Source: the Alexandria database, functional PBE-GGA.

Results
* raw total energy: -6.087 eV/atom
* formation energy from raw total energies: -2.06 eV/atom

abc: 5.798 5.798 5.798
angles: 60.00 60.00 60.00
Atoms (fractional coordinates):
Sr1 0.000 0.000 0.000
Ca1 0.500 0.500 0.500
In1 0.750 0.750 0.750
Sb1 0.250 0.250 0.250
O1 0.009 0.009 0.491
O2 0.009 0.491 0.009
O3 0.009 0.491 0.491
O4 0.491 0.009 0.009
O5 0.491 0.009 0.491
O6 0.491 0.491 0.009

3.
An optimized crystal structure of InMoP. Source: the Alexandria database, functional PBE-GGA.

Results
* relative energy among the computed polymorphs: 0.168 eV/atom
* calculated formation energy: 0.024 eV per atom
* raw total energy: -6.302 eV/atom

abc: 4.088 4.088 3.783
angles: 90.00 90.00 120.00
Atoms (fractional coordinates):
In1 0.000 0.000 0.000
Mo1 0.667 0.333 0.500
P1 0.333 0.667 0.500

4.
An optimized crystal structure of TcPAu2. Source: the Alexandria database, functional PBE-GGA.

Results
* calculated formation energy: 0.462 eV per atom
* raw total energy: -5.121 eV/atom

abc: 4.499 4.499 4.499
angles: 60.00 60.00 60.00
Atoms (fractional coordinates):
Tc1 0.000 0.000 0.000
P1 0.250 0.250 0.250
Au1 0.500 0.500 0.500
Au2 0.750 0.750 0.750

5.
An optimized crystal structure of Sm6P2S3. Source: the Alexandria database, functional PBE-GGA.

Results
* raw total energy: -6.322 eV/atom
* formation energy from raw total energies: -1.64 eV/atom

abc: 6.843 6.843 6.838
angles: 90.00 90.00 120.00
Atoms (fractional coordinates):
Sm1 0.000 0.336 0.256
Sm2 0.000 0.664 0.744
Sm3 0.336 0.000 0.256
Sm4 0.336 0.336 0.744
Sm5 0.664 0.000 0.744
Sm6 0.664 0.664 0.256
P1 0.333 0.667 0.500
P2 0.667 0.333 0.500
S1 0.000 0.000 0.500
S2 0.333 0.667 0.000
S3 0.667 0.333 0.000

6.
An optimized crystal structure of CdCoHgPd2. Source: the Alexandria database, functional PBE-GGA.

Results
* calculated formation energy: 0.989 eV per atom
* raw total energy: -2.753 eV/atom

abc: 5.055 5.055 4.769
angles: 90.00 90.00 90.00
Atoms (fractional coordinates):
Cd1 0.000 0.000 0.000
Co1 0.500 0.500 0.000
Hg1 0.500 0.500 0.500
Pd1 0.000 0.500 0.500
Pd2 0.500 0.000 0.500

7.
An optimized crystal structure of InNiRh2. Source: the Alexandria database, functional PBE-GGA.

Results
* calculated formation energy: -0.103 eV per atom
* raw total energy: -5.908 eV/atom

abc: 3.134 3.134 6.100
angles: 90.00 90.00 90.00
Atoms (fractional coordinates):
In1 0.000 0.000 0.000
Ni1 0.000 0.000 0.500
Rh1 0.500 0.500 0.275
Rh2 0.500 0.500 0.725

8.
An optimized crystal structure of YTeAuI2. Source: the Alexandria database, functional PBE-GGA.

Results
* relative energy among the computed polymorphs: 0.215 eV/atom
* raw total energy: -3.232 eV/atom
* formation energy from raw total energies: -0.04 eV/atom

abc: 5.537 5.537 5.582
angles: 90.00 90.00 90.00
Atoms (fractional coordinates):
Y1 0.000 0.000 0.000
Te1 0.500 0.500 0.000
Au1 0.500 0.500 0.500
I1 0.000 0.500 0.500
I2 0.500 0.000 0.500

9.
An optimized crystal structure of Ti2MnGe2. Source: the Alexandria database, functional PBE-GGA.

Results
* calculated formation energy: -0.488 eV per atom
* raw total energy: -7.327 eV/atom

abc: 6.406 6.406 3.732
angles: 90.00 90.00 90.00
Atoms (fractional coordinates):
Ti1 0.167 0.333 0.000
Ti2 0.333 0.833 0.000
Ti3 0.667 0.167 0.000
Ti4 0.833 0.667 0.000
Mn1 0.000 0.000 0.500
Mn2 0.500 0.500 0.500
Ge1 0.140 0.640 0.500
Ge2 0.360 0.140 0.500
Ge3 0.640 0.860 0.500
Ge4 0.860 0.360 0.500

10.
An optimized crystal structure of LaCe3S6. Source: the Alexandria database, functional PBE-GGA.

Results
* raw total energy: -6.775 eV/atom
* formation energy from raw total energies: -2.03 eV/atom

abc: 11.252 4.114 11.673
angles: 90.00 107.21 90.00
Atoms (fractional coordinates):
La1 0.049 0.250 0.190
La2 0.951 0.750 0.810
Ce1 0.160 0.250 0.583
Ce2 0.316 0.750 0.995
Ce3 0.435 0.250 0.329
Ce4 0.565 0.750 0.671
Ce5 0.684 0.250 0.005
Ce6 0.840 0.750 0.417
S1 0.084 0.750 0.404
S2 0.118 0.250 0.961
S3 0.191 0.750 0.746
S4 0.260 0.750 0.224
S5 0.401 0.250 0.561
S6 0.477 0.250 0.110
S7 0.523 0.750 0.890
S8 0.599 0.750 0.439
S9 0.740 0.250 0.776
S10 0.809 0.250 0.254
S11 0.882 0.750 0.039
S12 0.916 0.250 0.596

11.
An optimized crystal structure of CaSi2Au. Source: the Alexandria database, functional PBE-GGA.

Results
* raw total energy: -4.040 eV/atom
* formation energy from raw total energies: -0.01 eV/atom

abc: 5.504 5.504 5.504
angles: 143.69 121.26 71.06
Atoms (fractional coordinates):
Ca1 0.000 0.000 0.000
Si1 0.286 0.786 0.500
Si2 0.714 0.214 0.500
Au1 0.500 0.500 0.000

12.
An optimized crystal structure of Ho3Ge2Ru. Source: the Alexandria database, functional PBE-GGA.

Results
* calculated formation energy: -0.731 eV per atom
* raw total energy: -6.105 eV/atom

abc: 11.718 4.178 11.152
angles: 90.00 90.00 90.00
Atoms (fractional coordinates):
Ho1 0.055 0.250 0.127
Ho2 0.122 0.750 0.554
Ho3 0.226 0.250 0.795
Ho4 0.274 0.750 0.295
Ho5 0.378 0.250 0.054
Ho6 0.445 0.750 0.627
Ho7 0.555 0.250 0.373
Ho8 0.622 0.750 0.946
Ho9 0.726 0.250 0.705
Ho10 0.774 0.750 0.205
Ho11 0.878 0.250 0.446
Ho12 0.945 0.750 0.873
Ge1 0.008 0.750 0.311
Ge2 0.189 0.750 0.998
Ge3 0.311 0.250 0.498
Ge4 0.492 0.250 0.811
Ge5 0.508 0.750 0.189
Ge6 0.689 0.750 0.502
Ge7 0.811 0.250 0.002
Ge8 0.992 0.250 0.689
Ru1 0.130 0.250 0.368
Ru2 0.370 0.750 0.868
Ru3 0.630 0.250 0.132
Ru4 0.870 0.750 0.632

Number 1: spin magnetization 0.0 μB per formula unit. Number 2: spin magnetization 0.0 μB per formula unit. Number 3: spin magnetization 0.0 μB per formula unit. Number 4: spin magnetization 0.0 μB per formula unit. Number 5: spin magnetization 0.0 μB per formula unit. Number 6: spin magnetization 1.7 μB per formula unit. Number 7: spin magnetization 1.8 μB per formula unit. Number 8: spin magnetization 0.5 μB per formula unit. Number 9: spin magnetization 1.5 μB per formula unit. Number 10: spin magnetization 0.9 μB per formula unit. Number 11: spin magnetization 0.0 μB per formula unit. Number 12: spin magnetization 0.0 μB per formula unit.